18
Lattice="2.052 -9.138 0.000 2.052 9.138 0.000 0.000 0.000 11.507" Properties=species:S:1:pos:R:3 comment="PBE Ce2AlPdSe5, optimized geometry" magnetic_moment_mub_per_cell=2.0 dft_energy_ev_per_atom=-5.512 pbc="T T T"
Ce 2.052 7.108 5.754
Ce 2.052 6.963 10.114
Ce 2.052 -6.963 4.361
Ce 2.052 -7.108 0.000
Al 2.052 1.626 7.753
Al 2.052 -1.626 2.000
Pd 2.052 4.478 3.773
Pd 2.052 -4.478 9.526
Se 2.052 8.567 2.912
Se 2.052 3.518 6.201
Se 2.052 3.223 9.747
Se 2.052 2.547 2.177
Se 2.052 0.214 5.612
Se 2.052 -0.214 11.366
Se 2.052 -2.547 7.931
Se 2.052 -3.223 3.993
Se 2.052 -3.518 0.448
Se 2.052 -8.567 8.666



10
Lattice="4.227 0.000 0.000 0.000 4.227 0.000 0.000 0.000 10.116" Properties=species:S:1:pos:R:3 comment="PBE Ce2AlSi3Pd4, optimized geometry" magnetic_moment_mub_per_cell=0.9 dft_energy_ev_per_atom=-6.146 pbc="T T T"
Ce 0.000 2.114 2.506
Ce 2.114 0.000 7.610
Al 0.000 0.000 5.058
Si 0.000 2.114 8.801
Si 2.114 0.000 1.315
Si 2.114 2.114 5.058
Pd 0.000 0.000 0.000
Pd 0.000 2.114 6.383
Pd 2.114 0.000 3.733
Pd 2.114 2.114 0.000



10
Lattice="4.186 0.000 0.000 0.000 4.186 0.000 0.000 0.000 10.247" Properties=species:S:1:pos:R:3 comment="PBE Ce2AlSi4Pd3, optimized geometry" magnetic_moment_mub_per_cell=0.9 dft_energy_ev_per_atom=-6.096 pbc="T T T"
Ce 0.000 2.093 2.497
Ce 2.093 0.000 7.750
Al 0.000 0.000 5.123
Si 0.000 0.000 0.000
Si 0.000 2.093 6.586
Si 2.093 0.000 3.661
Si 2.093 2.093 0.000
Pd 0.000 2.093 9.001
Pd 2.093 0.000 1.246
Pd 2.093 2.093 5.123



no.,formation energy (no corrections) (eV per formula unit)
1,-11.4
2,-8.8
3,-8.1